# 1
{
  "formula": "Y2TiGaCo",
  "functional": "GGA-PBE",
  "state": "optimized geometry",
  "formation_energy_ev_per_atom": 0.481,
  "n_ef_per_ev_cell": 7.034,
  "total_energy_ev_per_atom": -5.71,
  "cell": [[5.438, 0.000, 0.000], [0.000, 4.303, 0.000], [0.000, 0.000, 5.438]],
  "species": ["Ti", "Ga", "Co", "Y", "Y"],
  "frac_coords": [[0.500, 0.500, 0.500], [0.000, 0.000, 0.000], [0.000, 0.500, 0.000], [0.500, 0.000, 0.000], [0.000, 0.000, 0.500]]
}

# 2
{
  "formula": "TiZnGaCo",
  "functional": "GGA-PBE",
  "state": "optimized geometry",
  "formation_energy_ev_per_atom": -0.303,
  "n_ef_per_ev_cell": 1.432,
  "total_energy_ev_per_atom": -5.13,
  "cell": [[-0.977, -0.939, -4.015], [-1.059, -3.966, -1.051], [-4.002, -0.918, -1.048]],
  "species": ["Zn", "Ti", "Co", "Ga"],
  "frac_coords": [[0.500, 0.500, 0.500], [0.250, 0.250, 0.250], [0.000, 0.000, 0.000], [0.750, 0.750, 0.750]]
}

# 3
{
  "formula": "TlGa2Co2",
  "functional": "GGA-PBE",
  "state": "optimized geometry",
  "formation_energy_ev_per_atom": 0.231,
  "n_ef_per_ev_cell": 3.707,
  "de_polymorph_ev_per_atom": 0.1700,
  "total_energy_ev_per_atom": -4.30,
  "cell": [[4.059, 0.000, 0.000], [0.000, 4.059, 0.000], [2.029, 2.029, 5.088]],
  "species": ["Ga", "Ga", "Co", "Co", "Tl"],
  "frac_coords": [[0.629, 0.629, 0.743], [0.371, 0.371, 0.257], [0.750, 0.250, 0.500], [0.250, 0.750, 0.500], [0.000, 0.000, 0.000]]
}

# 4
{
  "formula": "TlGa2Co2",
  "functional": "GGA-PBE",
  "state": "optimized geometry",
  "formation_energy_ev_per_atom": 0.107,
  "n_ef_per_ev_cell": 1.498,
  "de_polymorph_ev_per_atom": 0.0459,
  "total_energy_ev_per_atom": -4.42,
  "cell": [[3.658, 0.000, 0.000], [0.000, 3.658, 0.000], [1.829, 1.829, 5.785]],
  "species": ["Ga", "Ga", "Co", "Co", "Tl"],
  "frac_coords": [[0.250, 0.750, 0.500], [0.750, 0.250, 0.500], [0.605, 0.605, 0.790], [0.395, 0.395, 0.210], [0.000, 0.000, 0.000]]
}

# 5
{
  "formula": "TlGa2Co2",
  "functional": "GGA-PBE",
  "state": "optimized geometry",
  "formation_energy_ev_per_atom": 0.061,
  "n_ef_per_ev_cell": 5.408,
  "de_polymorph_ev_per_atom": 0.0000,
  "total_energy_ev_per_atom": -4.47,
  "cell": [[7.089, 0.000, 0.000], [0.000, 7.089, 0.000], [0.000, 0.000, 2.959]],
  "species": ["Ga", "Ga", "Ga", "Ga", "Co", "Co", "Co", "Co", "Tl", "Tl"],
  "frac_coords": [[0.641, 0.859, 0.500], [0.359, 0.141, 0.500], [0.141, 0.641, 0.500], [0.859, 0.359, 0.500], [0.651, 0.151, 0.000], [0.151, 0.349, 0.000], [0.849, 0.651, 0.000], [0.349, 0.849, 0.000], [0.500, 0.500, 0.000], [0.000, 0.000, 0.000]]
}

# 6
{
  "formula": "Tl2Ga2Co",
  "functional": "GGA-PBE",
  "state": "optimized geometry",
  "formation_energy_ev_per_atom": 0.206,
  "n_ef_per_ev_cell": 6.764,
  "total_energy_ev_per_atom": -3.37,
  "cell": [[6.461, 0.000, 0.000], [0.000, 6.461, 0.000], [0.000, 0.000, 5.742]],
  "species": ["Ga", "Ga", "Ga", "Ga", "Tl", "Tl", "Tl", "Tl", "Co", "Co"],
  "frac_coords": [[0.274, 0.774, 0.000], [0.726, 0.226, 0.000], [0.774, 0.726, 0.000], [0.226, 0.274, 0.000], [0.188, 0.688, 0.500], [0.688, 0.812, 0.500], [0.812, 0.312, 0.500], [0.312, 0.188, 0.500], [0.500, 0.500, 0.000], [0.000, 0.000, 0.000]]
}